1.
16
Lattice="6.328 0.000 0.000 0.000 6.328 0.000 0.000 0.000 12.157" Properties=species:S:1:pos:R:3 comment="CaGa2Si | Alexandria | PBE-GGA | optimized geometry" total_magnetization_mub_per_fu=0.0 raw_formation_energy_ev_per_atom=0.227 spacegroup="I-42d, No. 122" mass_density_g_cm3=2.833 pbc="T T T"
Ca 0.000 0.000 0.000
Ca 0.000 3.164 3.039
Ca 3.164 0.000 9.118
Ca 3.164 3.164 6.079
Ga 0.983 1.582 7.598
Ga 1.582 4.147 10.638
Ga 1.582 5.345 4.559
Ga 2.181 1.582 1.520
Ga 4.147 4.746 1.520
Ga 4.746 0.983 4.559
Ga 4.746 2.181 10.638
Ga 5.345 4.746 7.598
Si 0.000 0.000 6.079
Si 0.000 3.164 9.118
Si 3.164 0.000 3.039
Si 3.164 3.164 0.000

2.
10
Lattice="4.619 0.000 0.000 0.000 4.619 0.000 0.000 0.000 9.340" Properties=species:S:1:pos:R:3 comment="CaGa2Si2 | Alexandria | PBE-GGA | optimized geometry" total_magnetization_mub_per_fu=0.0 raw_formation_energy_ev_per_atom=-0.191 spacegroup="I4/mmm, No. 139" mass_density_g_cm3=3.929 pbc="T T T"
Ca 0.000 0.000 0.000
Ca 2.309 2.309 4.670
Ga 0.000 2.309 2.335
Ga 0.000 2.309 7.005
Ga 2.309 0.000 2.335
Ga 2.309 0.000 7.005
Si 0.000 0.000 3.477
Si 0.000 0.000 5.863
Si 2.309 2.309 1.193
Si 2.309 2.309 8.147

3.
12
Lattice="4.207 0.000 0.000 -2.103 3.643 0.000 0.000 0.000 16.886" Properties=species:S:1:pos:R:3 comment="CaGa2Si | Alexandria | PBE-GGA | optimized geometry" total_magnetization_mub_per_fu=0.0 raw_formation_energy_ev_per_atom=-0.204 spacegroup="R-3m, No. 166" mass_density_g_cm3=3.996 pbc="T T T"
Ca 0.000 0.000 0.000
Ca 0.000 2.429 11.258
Ca 2.103 1.214 5.629
Ga 0.000 0.000 3.767
Ga 0.000 0.000 13.119
Ga 0.000 2.429 7.491
Ga 0.000 2.429 15.025
Ga 2.103 1.214 1.862
Ga 2.103 1.214 9.396
Si 0.000 0.000 8.443
Si 0.000 2.429 2.814
Si 2.103 1.214 14.072

4.
5
Lattice="4.868 0.000 0.000 0.000 4.868 0.000 0.000 0.000 4.868" Properties=species:S:1:pos:R:3 comment="CaGaSi3 | Alexandria | PBE-GGA | optimized geometry" total_magnetization_mub_per_fu=0.0 raw_formation_energy_ev_per_atom=0.495 spacegroup="Pm-3m, No. 221" mass_density_g_cm3=2.793 pbc="T T T"
Ca 0.000 0.000 0.000
Ga 2.434 2.434 2.434
Si 0.000 2.434 2.434
Si 2.434 0.000 2.434
Si 2.434 2.434 0.000

5.
8
Lattice="4.120 0.000 0.000 0.000 4.490 0.000 0.000 0.000 11.219" Properties=species:S:1:pos:R:3 comment="Ca4Ga3Si | Alexandria | PBE-GGA | optimized geometry" total_magnetization_mub_per_fu=0.0 raw_formation_energy_ev_per_atom=-0.488 spacegroup="Pmm2, No. 25" mass_density_g_cm3=3.181 pbc="T T T"
Ca 0.000 0.000 0.000
Ca 0.000 2.245 5.499
Ca 2.060 0.000 7.950
Ca 2.060 2.245 2.392
Ga 0.000 2.245 8.765
Ga 2.060 0.000 4.688
Ga 2.060 2.245 10.371
Si 0.000 0.000 3.188

6.
10
Lattice="7.548 0.000 0.000 0.000 7.548 0.000 0.000 0.000 3.371" Properties=species:S:1:pos:R:3 comment="CaGa2Si2 | Alexandria | PBE-GGA | optimized geometry" total_magnetization_mub_per_fu=0.0 raw_formation_energy_ev_per_atom=0.005 spacegroup="P4/mbm, No. 127" mass_density_g_cm3=4.076 pbc="T T T"
Ca 0.000 0.000 0.000
Ca 3.774 3.774 0.000
Ga 0.959 2.815 0.000
Ga 2.815 6.589 0.000
Ga 4.733 0.959 0.000
Ga 6.589 4.733 0.000
Si 1.223 4.997 1.685
Si 2.551 1.223 1.685
Si 4.997 6.325 1.685
Si 6.325 2.551 1.685

Number 1: total energy -3.143 eV/atom. Number 2: total energy -3.971 eV/atom. Number 3: total energy -3.574 eV/atom. Number 4: total energy -3.764 eV/atom. Number 5: total energy -3.302 eV/atom. Number 6: total energy -3.775 eV/atom.